# 1
First-principles (PBE) data for Y2TiSb after structural relaxation, as listed in Alexandria via LeMat-Bulk.

## Properties
- D(E_F) (states/eV/cell) = 16.94
- final energy (eV/f.u.) = -24.61

abc: 8.4010 8.4010 6.1168
angles: 90.00 90.00 90.00
With the nearest neighbours (Å) after each atom.
Fractional coordinates of all 16 atoms:
Y1 0.2437 0.2500 0.1250  2 Sb 3.03, 2 Y 3.06, 2 Ti 3.10
Y2 0.2500 0.7437 0.3750  2 Sb 3.03, 2 Y 3.06, 2 Ti 3.10
Y3 0.2500 0.7563 0.8750  2 Sb 3.03, 2 Y 3.06, 2 Ti 3.10
Y4 0.2563 0.2500 0.6250  2 Sb 3.03, 2 Y 3.06, 2 Ti 3.10
Y5 0.7437 0.7500 0.6250  2 Sb 3.03, 2 Y 3.06, 2 Ti 3.10
Y6 0.7500 0.2437 0.8750  2 Sb 3.03, 2 Y 3.06, 2 Ti 3.10
Y7 0.7500 0.2563 0.3750  2 Sb 3.03, 2 Y 3.06, 2 Ti 3.10
Y8 0.7563 0.7500 0.1250  2 Sb 3.03, 2 Y 3.06, 2 Ti 3.10
Ti1 0.0000 0.0000 0.5000  2 Sb 3.06, 4 Y 3.10
Ti2 0.0000 0.5000 0.7500  2 Sb 3.06, 4 Y 3.10
Ti3 0.5000 0.0000 0.2500  2 Sb 3.06, 4 Y 3.10
Ti4 0.5000 0.5000 0.0000  2 Sb 3.06, 4 Y 3.10
Sb1 0.0000 0.0000 0.0000  4 Y 3.03, 2 Ti 3.06
Sb2 0.0000 0.5000 0.2500  4 Y 3.03, 2 Ti 3.06
Sb3 0.5000 0.0000 0.7500  4 Y 3.03, 2 Ti 3.06
Sb4 0.5000 0.5000 0.5000  4 Y 3.03, 2 Ti 3.06

# 2
First-principles (PBE) data for TlSb6Pd12 after structural relaxation, as listed in Alexandria via LeMat-Bulk.

## Properties
- D(E_F) (states/eV/cell) = 9.12
- final energy (eV/f.u.) = -94.94

abc: 7.7495 7.7495 7.7495
angles: 107.87 107.87 107.87
With the nearest neighbours (Å) after each atom.
Fractional coordinates of all 19 atoms:
Tl1 0.0000 0.0000 0.0000  6 Pd 3.03
Sb1 0.2761 0.2761 0.7026  7 Pd 2.64-2.85
Sb2 0.2761 0.7026 0.2761  7 Pd 2.64-2.85
Sb3 0.2974 0.7239 0.7240  7 Pd 2.64-2.85
Sb4 0.7026 0.2760 0.2761  7 Pd 2.64-2.85
Sb5 0.7239 0.2974 0.7239  7 Pd 2.64-2.85
Sb6 0.7239 0.7240 0.2974  7 Pd 2.64-2.85
Pd1 0.1202 0.5000 0.8798  4 Sb 2.64-2.68
Pd2 0.1202 0.8798 0.5000  4 Sb 2.64-2.68
Pd3 0.1457 0.3787 0.3787  4 Sb 2.73-3.05, 4 Pd 2.92-2.99, 1 Tl 3.03
Pd4 0.3787 0.1457 0.3787  4 Sb 2.73-3.05, 4 Pd 2.92-2.99, 1 Tl 3.03
Pd5 0.3787 0.3787 0.1457  4 Sb 2.73-3.05, 4 Pd 2.92-2.99, 1 Tl 3.03
Pd6 0.5000 0.1202 0.8798  4 Sb 2.64-2.68
Pd7 0.5000 0.8798 0.1202  4 Sb 2.64-2.68
Pd8 0.6213 0.6213 0.8543  4 Sb 2.73-3.05, 4 Pd 2.92-2.99, 1 Tl 3.03
Pd9 0.6213 0.8543 0.6213  4 Sb 2.73-3.05, 4 Pd 2.92-2.99, 1 Tl 3.03
Pd10 0.8543 0.6213 0.6213  4 Sb 2.73-3.05, 4 Pd 2.92-2.99, 1 Tl 3.03
Pd11 0.8798 0.1202 0.5000  4 Sb 2.64-2.68
Pd12 0.8798 0.5000 0.1202  4 Sb 2.64-2.68

# 3
First-principles (PBE) data for CaZn2Cu after structural relaxation, as listed in Alexandria via LeMat-Bulk.

## Properties
- D(E_F) (states/eV/cell) = 8.33
- final energy (eV/f.u.) = -8.87

abc: 6.6205 6.6205 6.6205
angles: 90.00 90.00 90.00
With the nearest neighbours (Å) after each atom.
Fractional coordinates of all 16 atoms:
Ca1 0.0000 0.0000 0.0000  8 Zn 2.87
Ca2 0.0000 0.5000 0.5000  8 Zn 2.87
Ca3 0.5000 0.0000 0.5000  8 Zn 2.87
Ca4 0.5000 0.5000 0.0000  8 Zn 2.87
Zn1 0.2500 0.2500 0.2500  4 Ca 2.87, 4 Cu 2.87
Zn2 0.2500 0.2500 0.7500  4 Ca 2.87, 4 Cu 2.87
Zn3 0.2500 0.7500 0.2500  4 Ca 2.87, 4 Cu 2.87
Zn4 0.2500 0.7500 0.7500  4 Ca 2.87, 4 Cu 2.87
Zn5 0.7500 0.2500 0.2500  4 Ca 2.87, 4 Cu 2.87
Zn6 0.7500 0.2500 0.7500  4 Ca 2.87, 4 Cu 2.87
Zn7 0.7500 0.7500 0.2500  4 Ca 2.87, 4 Cu 2.87
Zn8 0.7500 0.7500 0.7500  4 Ca 2.87, 4 Cu 2.87
Cu1 0.0000 0.0000 0.5000  8 Zn 2.87
Cu2 0.0000 0.5000 0.0000  8 Zn 2.87
Cu3 0.5000 0.0000 0.0000  8 Zn 2.87
Cu4 0.5000 0.5000 0.5000  8 Zn 2.87

# 4
First-principles (PBE) data for TaCrSeBr2 after structural relaxation, as listed in Alexandria via LeMat-Bulk.

## Properties
- D(E_F) (states/eV/cell) = 3.25
- offset from the most stable computed form (meV/atom) = 0
- final energy (eV/f.u.) = -26.98

abc: 5.1663 5.1663 5.0488
angles: 90.00 90.00 90.00
With the nearest neighbours (Å) after each atom.
Fractional coordinates of all 5 atoms:
Ta1 0.0000 0.0000 0.0000  2 Se 2.52, 4 Br 2.58
Cr1 0.5000 0.5000 0.5000  8 Br 3.61, 4 Se 3.65
Se1 0.0000 0.0000 0.5000  2 Ta 2.52
Br1 0.0000 0.5000 0.0000  2 Ta 2.58
Br2 0.5000 0.0000 0.0000  2 Ta 2.58

# 5
First-principles (PBE) data for La2YBe after structural relaxation, as listed in Alexandria via LeMat-Bulk.

## Properties
- D(E_F) (states/eV/cell) = 8.88
- final energy (eV/f.u.) = -18.82

abc: 7.7656 7.8352 3.8115
angles: 90.00 90.00 90.00
With the nearest neighbours (Å) after each atom.
Fractional coordinates of all 8 atoms:
La1 0.2500 0.2500 0.0000  4 Be 3.35, 4 Y 3.35
La2 0.2500 0.7500 0.0000  4 Be 3.35, 4 Y 3.35
La3 0.7500 0.2500 0.0000  4 Be 3.35, 4 Y 3.35
La4 0.7500 0.7500 0.0000  4 Y 3.35, 4 Be 3.35
Y1 0.0000 0.0000 0.5000  8 La 3.35
Y2 0.5000 0.5000 0.5000  8 La 3.35
Be1 0.0000 0.5000 0.5000  8 La 3.35
Be2 0.5000 0.0000 0.5000  8 La 3.35

# 6
First-principles (PBE) data for KRu2Se after structural relaxation, as listed in Alexandria via LeMat-Bulk.

## Properties
- D(E_F) (states/eV/cell) = 9.48
- final energy (eV/f.u.) = -19.30

abc: 4.6403 4.6403 6.6450
angles: 90.00 90.00 90.00
With the nearest neighbours (Å) after each atom.
Fractional coordinates of all 8 atoms:
K1 0.0000 0.0000 0.0000  4 Se 2.85, 4 Ru 2.85
K2 0.5000 0.5000 0.5000  4 Se 2.85, 4 Ru 2.85
Ru1 0.0000 0.0000 0.5000  4 Se 2.85, 4 Ru 2.85
Ru2 0.0000 0.5000 0.7500  4 K 2.85, 4 Ru 2.85
Ru3 0.5000 0.0000 0.2500  4 K 2.85, 4 Ru 2.85
Ru4 0.5000 0.5000 0.0000  4 Se 2.85, 4 Ru 2.85
Se1 0.0000 0.5000 0.2500  4 K 2.85, 4 Ru 2.85
Se2 0.5000 0.0000 0.7500  4 K 2.85, 4 Ru 2.85

# 7
First-principles (PBE) data for CuAs2Se after structural relaxation, as listed in Alexandria via LeMat-Bulk.

## Properties
- D(E_F) (states/eV/cell) = 1.94
- final energy (eV/f.u.) = -15.48

abc: 2.8534 2.8534 9.2860
angles: 90.00 90.00 90.00
With the nearest neighbours (Å) after each atom.
Fractional coordinates of all 4 atoms:
Cu1 0.0000 0.0000 0.0000  4 As 2.71, 4 Se 2.75, 4 Cu 2.85
As1 0.0000 0.0000 0.5473  8 As 2.85-3.13
As2 0.5000 0.5000 0.8045  4 Cu 2.71, 4 As 2.85
Se1 0.5000 0.5000 0.2018  4 Cu 2.75, 4 Se 2.85

# 8
First-principles (PBE) data for AcLuInAu after structural relaxation, as listed in Alexandria via LeMat-Bulk.

## Properties
- D(E_F) (states/eV/cell) = 10.90
- final energy (eV/f.u.) = -16.70

abc: 7.6933 7.6933 7.6933
angles: 90.00 90.00 90.00
With the nearest neighbours (Å) after each atom.
Fractional coordinates of all 16 atoms:
Ac1 0.0000 0.0000 0.0000  4 In 3.33, 4 Au 3.33
Ac2 0.0000 0.5000 0.5000  4 In 3.33, 4 Au 3.33
Ac3 0.5000 0.0000 0.5000  4 In 3.33, 4 Au 3.33
Ac4 0.5000 0.5000 0.0000  4 In 3.33, 4 Au 3.33
Lu1 0.0000 0.0000 0.5000  4 Au 3.33, 4 In 3.33
Lu2 0.0000 0.5000 0.0000  4 Au 3.33, 4 In 3.33
Lu3 0.5000 0.0000 0.0000  4 Au 3.33, 4 In 3.33
Lu4 0.5000 0.5000 0.5000  4 In 3.33, 4 Au 3.33
In1 0.2500 0.2500 0.2500  4 Ac 3.33, 4 Lu 3.33
In2 0.2500 0.7500 0.7500  4 Ac 3.33, 4 Lu 3.33
In3 0.7500 0.2500 0.7500  4 Ac 3.33, 4 Lu 3.33
In4 0.7500 0.7500 0.2500  4 Ac 3.33, 4 Lu 3.33
Au1 0.2500 0.2500 0.7500  4 Ac 3.33, 4 Lu 3.33
Au2 0.2500 0.7500 0.2500  4 Ac 3.33, 4 Lu 3.33
Au3 0.7500 0.2500 0.2500  4 Ac 3.33, 4 Lu 3.33
Au4 0.7500 0.7500 0.7500  4 Ac 3.33, 4 Lu 3.33

# 9
First-principles (PBE) data for Y6HoTm2 after structural relaxation, as listed in Alexandria via LeMat-Bulk.

## Properties
- D(E_F) (states/eV/cell) = 31.30
- offset from the most stable computed form (meV/atom) = 43
- final energy (eV/f.u.) = -51.68

abc: 11.8298 11.8298 5.6998
angles: 103.90 103.90 47.67
With the nearest neighbours (Å) after each atom.
Fractional coordinates of all 18 atoms:
Y1 0.0019 0.1657 0.2986  5 Y 3.24-3.56, 1 Tm 3.49, 1 Ho 3.56
Y2 0.0829 0.5820 0.0826  5 Y 3.45-3.63, 1 Ho 3.50, 6 Tm 3.56-3.84
Y3 0.1657 0.0019 0.7986  5 Y 3.24-3.56, 1 Tm 3.49, 1 Ho 3.56
Y4 0.3342 0.4984 0.6317  5 Y 3.24-3.56, 1 Tm 3.50, 1 Ho 3.56
Y5 0.4180 0.9171 0.4174  5 Y 3.45-3.63, 1 Ho 3.50, 6 Tm 3.56-3.84
Y6 0.4984 0.3342 0.1317  5 Y 3.24-3.56, 1 Tm 3.50, 1 Ho 3.56
Y7 0.5016 0.6658 0.8683  5 Y 3.24-3.56, 1 Tm 3.50, 1 Ho 3.56
Y8 0.5820 0.0829 0.5826  5 Y 3.45-3.63, 1 Ho 3.50, 6 Tm 3.56-3.84
Y9 0.6658 0.5016 0.3683  5 Y 3.24-3.56, 1 Tm 3.50, 1 Ho 3.56
Y10 0.8343 0.9981 0.2014  5 Y 3.24-3.56, 1 Tm 3.49, 1 Ho 3.56
Y11 0.9171 0.4180 0.9174  5 Y 3.45-3.63, 1 Ho 3.50, 6 Tm 3.56-3.84
Y12 0.9981 0.8343 0.7014  5 Y 3.24-3.56, 1 Tm 3.49, 1 Ho 3.56
Ho1 0.2498 0.7502 0.2500  14 Y 3.50-3.86
Ho2 0.7502 0.2498 0.7500  14 Y 3.50-3.86
Tm1 0.1679 0.3319 0.5324  3 Tm 3.23-3.25, 6 Y 3.49-3.62
Tm2 0.3319 0.1679 0.0324  3 Tm 3.23-3.25, 6 Y 3.49-3.62
Tm3 0.6681 0.8321 0.9676  3 Tm 3.23-3.25, 6 Y 3.49-3.62
Tm4 0.8321 0.6681 0.4676  3 Tm 3.23-3.25, 6 Y 3.49-3.62

# 10
First-principles (PBE) data for Li5As after structural relaxation, as listed in Alexandria via LeMat-Bulk.

## Properties
- D(E_F) (states/eV/cell) = 3.10
- final energy (eV/f.u.) = -15.56

abc: 3.3960 3.3960 9.4604
angles: 90.00 90.00 90.00
With the nearest neighbours (Å) after each atom.
Fractional coordinates of all 6 atoms:
Li1 0.0000 0.0000 0.0000  12 Li 3.05-3.40
Li2 0.0000 0.0000 0.3651  1 Li 2.55, 4 As 2.72
Li3 0.0000 0.0000 0.6349  1 Li 2.55, 4 As 2.72
Li4 0.5000 0.5000 0.1993  1 As 2.85, 8 Li 2.87-3.05
Li5 0.5000 0.5000 0.8007  1 As 2.85, 8 Li 2.87-3.05
As1 0.5000 0.5000 0.5000  10 Li 2.72-2.85

# 11
First-principles (PBE) data for NaLa4Tc after structural relaxation, as listed in Alexandria via LeMat-Bulk.

## Properties
- D(E_F) (states/eV/cell) = 15.24
- final energy (eV/f.u.) = -31.21

abc: 6.4844 7.8715 7.8968
angles: 90.06 90.41 90.96
With the nearest neighbours (Å) after each atom.
Fractional coordinates of all 12 atoms:
Na1 0.2493 0.0046 0.4874  2 Na 3.24-3.26
Na2 0.7507 0.9954 0.5126  2 Na 3.24-3.26
La1 0.0130 0.6184 0.3014  2 Tc 3.00-3.06
La2 0.0199 0.7991 0.8819  2 Tc 2.96-3.06
La3 0.4768 0.2019 0.8804  2 Tc 2.95-3.06
La4 0.4982 0.6199 0.6985  2 Tc 3.03
La5 0.5018 0.3801 0.3015  2 Tc 3.03
La6 0.5232 0.7981 0.1196  2 Tc 2.95-3.06
La7 0.9801 0.2009 0.1181  2 Tc 2.96-3.06
La8 0.9870 0.3816 0.6986  2 Tc 3.00-3.06
Tc1 0.2500 0.4997 0.0006  8 La 2.95-3.06, 2 Tc 3.24
Tc2 0.7500 0.5003 0.9994  8 La 2.95-3.06, 2 Tc 3.24

# 12
First-principles (PBE) data for Pu5Pd2Ru2 after structural relaxation, as listed in Alexandria via LeMat-Bulk.

## Properties
- D(E_F) (states/eV/cell) = 77.51
- final energy (eV/f.u.) = -101.54

abc: 9.1004 9.1004 7.8147
angles: 113.22 113.22 42.85
With the nearest neighbours (Å) after each atom.
Fractional coordinates of all 18 atoms:
Pu1 0.0484 0.0484 0.2394  2 Ru 2.73-2.77, 1 Pd 2.85
Pu2 0.1185 0.5470 0.9747  1 Pu 2.63, 1 Ru 2.77, 1 Pd 2.84
Pu3 0.3695 0.1282 0.5466  2 Ru 2.48-2.65
Pu4 0.4484 0.4534 0.6490  2 Ru 2.72-2.76, 1 Pd 2.90
Pu5 0.4530 0.8815 0.0253  1 Pu 2.63, 1 Ru 2.77, 1 Pd 2.84
Pu6 0.5466 0.5516 0.3510  2 Ru 2.72-2.76, 1 Pd 2.90
Pu7 0.6164 0.0585 0.2152  1 Pu 2.63, 2 Ru 2.72-2.92, 1 Pd 2.82
Pu8 0.8718 0.6305 0.4534  2 Ru 2.48-2.65
Pu9 0.9415 0.3836 0.7848  1 Pu 2.63, 2 Ru 2.72-2.92, 1 Pd 2.82
Pu10 0.9516 0.9516 0.7606  2 Ru 2.73-2.77, 1 Pd 2.85
Pd1 0.0967 0.7241 0.3644  7 Pu 2.84-3.17, 2 Ru 2.84-2.89, 1 Pd 2.87
Pd2 0.2759 0.9033 0.6356  7 Pu 2.84-3.17, 2 Ru 2.84-2.89, 1 Pd 2.87
Pd3 0.5952 0.2179 0.9534  4 Pu 2.82-3.06, 2 Ru 2.84-2.91, 1 Pd 2.93
Pd4 0.7821 0.4048 0.0466  4 Pu 2.82-3.06, 2 Ru 2.84-2.91, 1 Pd 2.93
Ru1 0.1669 0.3370 0.2592  2 Pu 2.48-2.65
Ru2 0.3223 0.6777 0.0000  6 Pu 2.73-2.77, 2 Pd 2.84
Ru3 0.6630 0.8331 0.7408  2 Pu 2.48-2.65
Ru4 0.8180 0.1820 0.5000  6 Pu 2.72-2.77, 2 Pd 2.84

| no. | theoretical density (g/cm³) |
| --- | --- |
| 1 | 5.35 |
| 2 | 9.72 |
| 3 | 5.37 |
| 4 | 5.81 |
| 5 | 5.38 |
| 6 | 7.43 |
| 7 | 6.42 |
| 8 | 10.41 |
| 9 | 6.05 |
| 10 | 1.67 |
| 11 | 5.58 |
| 12 | 13.62 |